1.
VASP calculation (PBE) on crystalline NaFe2BP at its relaxed geometry.

Cell: 4.262 4.262 4.973 Å, 90.00 90.00 90.00°
Fractional positions:
Na1 0.000 0.000 0.000
Fe1 0.000 0.500 0.500
Fe2 0.500 0.000 0.500
B1 0.500 0.500 0.000
P1 0.000 0.000 0.500

Properties
The formation energy is 1.14 eV per atom.

***

2.
VASP calculation (PBE) on crystalline Na2FeBPt at its relaxed geometry.

Cell: 5.500 5.500 4.003 Å, 90.00 90.00 90.00°
Fractional positions:
Na1 0.000 0.500 0.000
Na2 0.500 0.000 0.000
Fe1 0.000 0.000 0.500
B1 0.500 0.500 0.500
Pt1 0.500 0.500 0.000

Properties
The formation energy is 0.82 eV per atom. The energy above the most stable polymorph in this dataset comes out at 0.000 eV per atom.

***

3.
VASP calculation (PBE) on crystalline Na2FeBPt at its relaxed geometry.

Cell: 5.308 5.308 4.725 Å, 90.00 90.00 90.00°
Fractional positions:
Na1 0.000 0.500 0.000
Na2 0.500 0.000 0.000
Fe1 0.000 0.000 0.500
B1 0.500 0.500 0.500
Pt1 0.000 0.000 0.000

Properties
The formation energy is 1.37 eV per atom. The energy above the most stable polymorph in this dataset comes out at 0.553 eV per atom.

***

4.
VASP calculation (PBE) on crystalline Rb2NaFeB at its relaxed geometry.

Cell: 6.721 6.721 3.941 Å, 90.00 90.00 90.00°
Fractional positions:
Rb1 0.000 0.500 0.000
Rb2 0.500 0.000 0.000
Na1 0.000 0.000 0.500
Fe1 0.500 0.500 0.500
B1 0.500 0.500 0.000

Properties
The formation energy is 0.76 eV per atom.

***

5.
VASP calculation (PBE) on crystalline NaTiFeB2 at its relaxed geometry.

Cell: 4.122 4.122 4.137 Å, 90.00 90.00 90.00°
Fractional positions:
Na1 0.000 0.000 0.000
Ti1 0.500 0.500 0.500
Fe1 0.000 0.000 0.500
B1 0.000 0.500 0.000
B2 0.500 0.000 0.000

Properties
The formation energy is 2.16 eV per atom.

***

6.
VASP calculation (PBE) on crystalline NbFeB at its relaxed geometry.

Cell: 2.893 4.624 5.232 Å, 90.00 92.77 90.00°
Fractional positions:
Nb1 0.000 0.000 0.000
Nb2 0.460 0.500 0.295
Fe1 0.950 0.000 0.464
Fe2 0.980 0.500 0.745
B1 0.470 0.192 0.680
B2 0.470 0.808 0.680

Properties
The formation energy is -0.27 eV per atom.

***

7.
VASP calculation (PBE) on crystalline NbFeB at its relaxed geometry.

Cell: 3.219 5.035 5.035 Å, 121.15 90.00 90.00°
Fractional positions:
Nb1 0.000 0.000 0.000
Nb2 0.500 0.489 0.489
Fe1 0.000 0.006 0.511
Fe2 0.000 0.511 0.006
B1 0.500 0.230 0.811
B2 0.500 0.811 0.230

Properties
The formation energy is -0.19 eV per atom.

***

8.
VASP calculation (PBE) on crystalline NbFeB at its relaxed geometry.

Cell: 5.346 5.346 4.464 Å, 102.48 102.48 32.92°
Fractional positions:
Nb1 0.132 0.132 0.329
Nb2 0.868 0.868 0.671
Fe1 0.414 0.414 0.208
Fe2 0.586 0.586 0.792
B1 0.231 0.231 0.881
B2 0.769 0.769 0.119

Properties
The formation energy is -0.45 eV per atom.

***

Number 1: electronic total energy -4.93 eV/atom. Number 2: electronic total energy -3.95 eV/atom. Number 3: electronic total energy -3.40 eV/atom. Number 4: electronic total energy -2.92 eV/atom. Number 5: electronic total energy -4.04 eV/atom. Number 6: electronic total energy -8.68 eV/atom. Number 7: electronic total energy -8.59 eV/atom. Number 8: electronic total energy -8.86 eV/atom.